# 1
Material: Dy5Er2Te2Pt2
Method: DFT, PBE
State: optimized geometry

a = 3.9463 Å, b = 15.7234 Å, c = 9.5825 Å
α = 90.00°, β = 90.00°, γ = 90.00°
Space group Imm2 (No. 44)
Inequivalent atoms, fractional coordinates:
Dy  0.0000  0.0000  0.0000 (multiplicity 2)
Dy  0.0000  0.1296  0.5827 (multiplicity 4)
Dy  0.0000  0.3550  0.7341 (multiplicity 4)
Er  0.0000  0.3175  0.3759 (multiplicity 4)
Te  0.0000  0.0000  0.3355 (multiplicity 2)
Te  0.0000  0.5000  0.2371 (multiplicity 2)
Pt  0.0000  0.2378  0.0715 (multiplicity 4)

* raw total energy: -5.6238 eV per atom



# 2
Material: DyErTl2Pt4
Method: DFT, PBE
State: optimized geometry

a = 4.6342 Å, b = 4.6342 Å, c = 8.9301 Å
α = 90.00°, β = 90.00°, γ = 120.00°
Space group P-6m2 (No. 187)
Inequivalent atoms, fractional coordinates:
Dy  0.0000  0.0000  0.0000 (multiplicity 1)
Er  0.3333  0.6667  0.5000 (multiplicity 1)
Tl  0.6667  0.3333  0.2507 (multiplicity 2)
Pt  0.0000  0.0000  0.3454 (multiplicity 2)
Pt  0.3333  0.6667  0.1567 (multiplicity 2)

* raw total energy: -5.5132 eV per atom



# 3
Material: DyErZn2Pt4
Method: DFT, PBE
State: optimized geometry

a = 4.6666 Å, b = 4.6666 Å, c = 6.6179 Å
α = 90.00°, β = 90.00°, γ = 90.00°
Space group P4/mmm (No. 123)
Inequivalent atoms, fractional coordinates:
Dy  0.0000  0.0000  0.0000 (multiplicity 1)
Er  0.5000  0.5000  0.5000 (multiplicity 1)
Zn  0.0000  0.0000  0.5000 (multiplicity 1)
Zn  0.5000  0.5000  0.0000 (multiplicity 1)
Pt  0.0000  0.5000  0.2516 (multiplicity 4)

* formation energy from the elements: -0.868 eV per atom